1.
The following is a DFT calculation (PBE) of PmSc2S3 after structural relaxation.

Summary:
Uncorrected formation energy in meV per atom: -1882
Crystal system: orthorhombic
M_tot in μB per cell: 0.0

The structure in POSCAR format:
```
PmSc2S3
1.0
3.6151 0.0000 -1.0943
-0.6743 4.9205 -2.2276
0.0325 -0.0065 6.6262
Sc S Pm
2 3 1
Direct
0.1577 0.1577 0.8154
0.8423 0.8423 0.1846
0.8166 0.3166 0.1333
0.1834 0.6834 0.8667
0.5000 0.0000 0.5000
0.5000 0.5000 0.5000
```

***

2.
The following is a DFT calculation (PBE) of Pb2C after structural relaxation.

Summary:
Distance to the lowest polymorph of the same formula in meV per atom: 228
Crystal system: monoclinic
M_tot in μB per cell: 0.0
E_form in eV/atom: 1.27

The structure in POSCAR format:
```
Pb2C
1.0
1.7390 6.9449 0.0729
-1.7390 6.9449 0.0729
0.0000 3.5341 6.2249
C Pb
2 4
Direct
0.5281 0.5281 0.7841
0.4719 0.4719 0.2159
0.1216 0.1216 0.5185
0.8825 0.8825 0.9960
0.1175 0.1175 0.0040
0.8784 0.8784 0.4815
```

***

3.
The following is a DFT calculation (PBE) of Ba2Mg12Cd3Hg after structural relaxation.

Summary:
Crystal system: trigonal
M_tot in μB per cell: 0.0
E_form in eV/atom: 0.05

The structure in POSCAR format:
```
Ba2Mg12Cd3Hg
1.0
11.2158 2.1500 1.5250
7.4084 8.6909 1.5250
7.4084 4.3123 7.6981
Cd Mg Hg Ba
3 12 1 2
Direct
0.5000 0.0000 0.0000
0.0000 0.5000 0.0000
0.0000 0.0000 0.5000
0.1907 0.5851 0.5851
0.9281 0.9281 0.3536
0.4149 0.8093 0.4149
0.5851 0.5851 0.1907
0.4149 0.4149 0.8093
0.0719 0.0719 0.6464
0.0719 0.6464 0.0719
0.9281 0.3536 0.9281
0.5851 0.1907 0.5851
0.8093 0.4149 0.4149
0.6464 0.0719 0.0719
0.3536 0.9281 0.9281
0.0000 0.0000 0.0000
0.3519 0.3519 0.3519
0.6481 0.6481 0.6481
```

***

4.
The following is a DFT calculation (PBE) of La2Pm2Rh3 after structural relaxation.

Summary:
Distance to the lowest polymorph of the same formula in meV per atom: 0
Crystal system: cubic
M_tot in μB per cell: 0.0
E_form in eV/atom: -0.69

The structure in POSCAR format:
```
La2Pm2Rh3
1.0
7.2759 0.0000 -2.5724
-3.6380 6.3011 -2.5724
0.0000 0.0000 7.7173
Pm Rh La
4 6 4
Direct
0.1144 0.6144 0.6144
0.5000 0.8856 0.5000
0.0000 0.0000 0.8856
0.3856 0.5000 0.0000
0.3538 0.1038 0.7500
0.1462 0.3962 0.2500
0.7500 0.6462 0.3962
0.2500 0.8538 0.1038
0.6038 0.7500 0.8538
0.8962 0.2500 0.6462
0.8845 0.5000 0.0000
0.0000 0.0000 0.3845
0.5000 0.3845 0.5000
0.6155 0.1155 0.1155
```

***

5.
The following is a DFT calculation (PBE) of Rb2BaScBr6 after structural relaxation.

Summary:
Uncorrected formation energy in meV per atom: -1725
Crystal system: cubic
M_tot in μB per cell: 1.0

The structure in POSCAR format:
```
Rb2BaScBr6
1.0
8.3124 0.0000 0.0000
0.0000 8.3124 0.0000
4.1562 4.1562 5.8776
Sc Br Ba Rb
1 6 1 2
Direct
0.5000 0.5000 0.0000
0.2678 0.2678 0.0000
0.7322 0.2678 0.0000
0.2678 0.2678 0.4644
0.7322 0.7322 0.5356
0.2678 0.7322 0.0000
0.7322 0.7322 0.0000
0.0000 0.0000 0.0000
0.7500 0.2500 0.5000
0.2500 0.7500 0.5000
```

***

6.
The following is a DFT calculation (PBE) of Tb12Pr7In after structural relaxation.

Summary:
Crystal system: trigonal
M_tot in μB per cell: 0.0
E_form in eV/atom: 0.16

The structure in POSCAR format:
```
Tb12Pr7In
1.0
8.5536 1.6950 -1.3004
-1.7303 8.5466 -1.3004
1.1293 1.6950 8.5779
Tb Pr In
12 7 1
Direct
0.0058 0.3342 0.8865
0.3421 0.4622 0.1225
0.8775 0.6579 0.5378
0.4622 0.1225 0.3421
0.1135 0.9942 0.6658
0.8865 0.0058 0.3342
0.3342 0.8865 0.0058
0.9942 0.6658 0.1135
0.1225 0.3421 0.4622
0.5378 0.8775 0.6579
0.6579 0.5378 0.8775
0.6658 0.1135 0.9942
0.6253 0.7712 0.2117
0.3747 0.2288 0.7883
0.2117 0.6253 0.7712
0.5000 0.5000 0.5000
0.7712 0.2117 0.6253
0.7883 0.3747 0.2288
0.2288 0.7883 0.3747
0.0000 0.0000 0.0000
```

***

7.
The following is a DFT calculation (PBE) of ReTeN3 after structural relaxation.

Summary:
Uncorrected formation energy in meV per atom: 985
Crystal system: cubic
M_tot in μB per cell: 0.0

The structure in POSCAR format:
```
ReTeN3
1.0
3.9552 0.0000 0.0000
0.0000 3.9552 0.0000
0.0000 0.0000 3.9552
Te N Re
1 3 1
Direct
0.5000 0.5000 0.5000
0.0000 0.0000 0.5000
0.5000 0.0000 0.0000
0.0000 0.5000 0.0000
0.0000 0.0000 0.0000
```

***

8.
The following is a DFT calculation (PBE) of NaCePuCl6 after structural relaxation.

Summary:
Uncorrected formation energy in meV per atom: -1964
Crystal system: tetragonal
M_tot in μB per cell: 9.1

The structure in POSCAR format:
```
NaCePuCl6
1.0
6.6371 0.0000 0.0000
0.0000 6.6371 0.0000
0.0000 0.0000 12.9418
Pu Ce Cl Na
2 2 12 2
Direct
0.5000 0.5000 0.1665
0.0000 0.0000 0.6665
0.0000 0.0000 0.3337
0.5000 0.5000 0.8337
0.6949 0.6949 0.9992
0.8051 0.1949 0.4992
0.3051 0.3051 0.9992
0.1987 0.8013 0.8320
0.1949 0.8051 0.4992
0.8013 0.1987 0.8320
0.8026 0.1974 0.1688
0.6974 0.6974 0.6688
0.1974 0.8026 0.1688
0.6987 0.6987 0.3320
0.3013 0.3013 0.3320
0.3026 0.3026 0.6688
0.0000 0.0000 0.9998
0.5000 0.5000 0.4998
```

***

9.
The following is a DFT calculation (PBE) of Ga12Hg3Cl5 after structural relaxation.

Summary:
Uncorrected formation energy in meV per atom: -37
Crystal system: cubic
M_tot in μB per cell: 0.0

The structure in POSCAR format:
```
Ga12Hg3Cl5
1.0
14.4120 0.0000 0.0000
-4.8040 13.5877 0.0000
-4.8040 -6.7939 11.7673
Ga Hg Cl
48 12 20
Direct
0.9300 0.3477 0.2651
0.7349 0.1523 0.0700
0.4177 0.0700 0.3351
0.7651 0.4300 0.3477
0.3477 0.4177 0.0826
0.6523 0.5823 0.9174
0.1649 0.0826 0.7349
0.7349 0.5826 0.1649
0.1649 0.0823 0.9300
0.9177 0.8351 0.5700
0.4300 0.7651 0.8477
0.0823 0.9174 0.1523
0.5823 0.6523 0.4174
0.0826 0.9177 0.3477
0.0700 0.4177 0.8351
0.3351 0.5700 0.4177
0.6523 0.0700 0.2349
0.2651 0.8477 0.9300
0.4174 0.1523 0.5823
0.3351 0.7651 0.4174
0.4174 0.2651 0.3351
0.2651 0.4174 0.8351
0.2349 0.5700 0.6523
0.5823 0.9300 0.6649
0.0700 0.6523 0.7349
0.5826 0.8477 0.4177
0.8351 0.9177 0.0700
0.8477 0.5826 0.9177
0.4300 0.6649 0.0823
0.5700 0.2349 0.1523
0.5826 0.7349 0.6649
0.5700 0.3351 0.9177
0.9177 0.0826 0.8477
0.4177 0.3477 0.5826
0.8477 0.2651 0.4300
0.6649 0.4300 0.5823
0.1523 0.7349 0.5700
0.9174 0.0823 0.6523
0.2349 0.6649 0.0826
0.6649 0.2349 0.5826
0.8351 0.9174 0.2651
0.1523 0.4174 0.0823
0.0823 0.1649 0.4300
0.9300 0.5823 0.1649
0.0826 0.1649 0.2349
0.9174 0.8351 0.7651
0.7651 0.3351 0.9174
0.3477 0.9300 0.7651
0.1250 0.2500 0.8750
0.2500 0.6250 0.8750
0.6250 0.3750 0.7500
0.7500 0.8750 0.6250
0.3750 0.7500 0.6250
0.1250 0.8750 0.7500
0.3750 0.6250 0.2500
0.8750 0.1250 0.2500
0.7500 0.3750 0.1250
0.6250 0.2500 0.3750
0.8750 0.7500 0.1250
0.2500 0.1250 0.3750
0.7500 0.1250 0.8750
0.6250 0.7500 0.8750
0.6250 0.8750 0.2500
0.0000 0.5000 0.5000
0.1250 0.7500 0.3750
0.2500 0.8750 0.1250
0.3750 0.1250 0.7500
0.3750 0.2500 0.1250
0.0000 0.0000 0.5000
0.7500 0.6250 0.3750
0.0000 0.5000 0.0000
0.5000 0.5000 0.0000
0.8750 0.2500 0.6250
0.5000 0.0000 0.5000
0.2500 0.3750 0.6250
0.5000 0.0000 0.0000
0.0000 0.0000 0.0000
0.1250 0.3750 0.2500
0.5000 0.5000 0.5000
0.8750 0.6250 0.7500
```